A plane-wave DFT calculation with PBE was carried out for crystalline BiP2O8 at its relaxed geometry.

Properties
Uncorrected energy, eV/cell: -70.27
Magnetic moment, μB per cell: 1.09
SG: C2/m
Raw formation energy, eV per atom: -1.446

Lattice parameters (Å, degrees): 5.4281 6.3832 6.3832 101.39 103.95 103.95
Sites, in units of the cell vectors:
Bi 0.0000 0.0000 0.0000
P 0.3007 0.7606 0.7606
P 0.6993 0.2394 0.2394
O 0.7952 0.0469 0.3003
O 0.2048 0.6997 0.9531
O 0.5799 0.7615 0.7615
O 0.4201 0.2385 0.2385
O 0.7952 0.3003 0.0469
O 0.2048 0.9531 0.6997
O 0.1368 0.5259 0.5259
O 0.8632 0.4741 0.4741